[1]
A plane-wave DFT calculation with PBE-GGA was carried out for LaOsO3 after structural relaxation.

Lattice parameters (Å, degrees): 5.394 5.394 5.394 65.38 65.38 65.38
Element x y z (fractional)
1 O 0.844 0.250 0.656
2 O 0.250 0.656 0.844
3 O 0.656 0.844 0.250
4 O 0.750 0.344 0.156
5 O 0.156 0.750 0.344
6 O 0.344 0.156 0.750
7 Os 0.000 0.000 0.000
8 Os 0.500 0.500 0.500
9 La 0.250 0.250 0.250
10 La 0.750 0.750 0.750



[2]
A plane-wave DFT calculation with PBE-GGA was carried out for La6OsO12 after structural relaxation.

Lattice parameters (Å, degrees): 6.776 6.776 6.776 98.38 98.38 98.38
Each line ends with the local moment (μB).
Element x y z (fractional)
1 O 0.593 0.442 0.177  0.00
2 O 0.558 0.823 0.407  0.00
3 O 0.285 0.970 0.066  0.07
4 O 0.407 0.558 0.823  0.00
5 O 0.934 0.715 0.030  0.07
6 O 0.823 0.407 0.558  0.00
7 O 0.030 0.934 0.715  0.07
8 O 0.177 0.593 0.442  0.00
9 O 0.970 0.066 0.285  0.07
10 O 0.442 0.177 0.593  0.00
11 O 0.066 0.285 0.970  0.07
12 O 0.715 0.030 0.934  0.07
13 La 0.393 0.857 0.697  0.01
14 La 0.697 0.393 0.857  0.01
15 La 0.607 0.143 0.303  0.01
16 La 0.857 0.697 0.393  0.01
17 La 0.143 0.303 0.607  0.01
18 La 0.303 0.607 0.143  0.01
19 Os 0.000 0.000 0.000  1.32



[3]
A plane-wave DFT calculation with PBE-GGA was carried out for LaPOsO after structural relaxation.

Lattice parameters (Å, degrees): 4.060 4.060 8.474 90.00 90.00 90.00
Element x y z (fractional)
1 Os 0.750 0.250 0.500
2 Os 0.250 0.750 0.500
3 O 0.250 0.750 0.000
4 O 0.750 0.250 0.000
5 P 0.750 0.750 0.359
6 P 0.250 0.250 0.641
7 La 0.250 0.250 0.144
8 La 0.750 0.750 0.856

Properties
For the polymorph energy (0 for the lowest one), the calculation gives 0.000 eV/atom.



[4]
A plane-wave DFT calculation with PBE-GGA was carried out for LaPOsO after structural relaxation.

Lattice parameters (Å, degrees): 4.278 4.278 6.995 90.00 90.00 90.00
Element x y z (fractional)
1 La 0.000 0.000 0.500
2 La 0.500 0.500 0.500
3 Os 0.000 0.500 0.126
4 Os 0.500 0.000 0.874
5 O 0.000 0.000 0.000
6 O 0.500 0.500 0.000
7 P 0.500 0.000 0.205
8 P 0.000 0.500 0.795

Properties
For the polymorph energy (0 for the lowest one), the calculation gives 2.111 eV/atom.



[5]
A plane-wave DFT calculation with PBE-GGA was carried out for LaPOsO after structural relaxation.

Lattice parameters (Å, degrees): 3.272 7.800 5.404 90.00 90.00 90.00
Element x y z (fractional)
1 La 0.000 0.680 0.000
2 La 0.000 0.320 0.500
3 P 0.000 0.924 0.500
4 P 0.000 0.076 0.000
5 Os 0.500 0.723 0.500
6 Os 0.500 0.277 0.000
7 O 0.500 0.498 0.254
8 O 0.500 0.502 0.754

Properties
For the polymorph energy (0 for the lowest one), the calculation gives 0.784 eV/atom.



[6]
A plane-wave DFT calculation with PBE-GGA was carried out for LaPOsO after structural relaxation.

Lattice parameters (Å, degrees): 4.064 4.064 8.444 90.00 90.00 90.00
Element x y z (fractional)
1 Os 0.000 0.500 0.500
2 Os 0.500 0.000 0.500
3 P 0.500 0.500 0.358
4 P 0.000 0.000 0.641
5 O 0.500 0.000 0.000
6 O 0.000 0.500 0.000
7 La 0.500 0.500 0.856
8 La 0.000 0.000 0.145

Properties
For the polymorph energy (0 for the lowest one), the calculation gives 0.005 eV/atom.



| no. | DFT total energy (eV/atom) |
| --- | --- |
| 1 | -8.125 |
| 2 | -8.256 |
| 3 | -8.552 |
| 4 | -6.441 |
| 5 | -7.768 |
| 6 | -8.547 |